(1)
Here is an optimized crystal structure of NdDy5Bi5 from Alexandria via LeMat-Bulk. Energies are from GGA-PBE.

Cell lengths 7.6735, 7.6735, 8.8948 Å; angles 106.56, 106.56, 48.58 degrees
Atoms (fractional coordinates):
Nd (0.0000, 0.0000, 0.0000)
Dy (0.0000, 0.0000, 0.5000)
Dy (0.3343, 0.3343, 0.1684)
Dy (0.3385, 0.3385, 0.6644)
Dy (0.6615, 0.6615, 0.3356)
Dy (0.6657, 0.6657, 0.8316)
Bi (0.1690, 0.1690, 0.3405)
Bi (0.1719, 0.1719, 0.8285)
Bi (0.5000, 0.5000, 0.0000)
Bi (0.8281, 0.8281, 0.1715)
Bi (0.8310, 0.8310, 0.6595)

Summary:
* E: -0.36481 Ry per atom


(2)
Here is an optimized crystal structure of K2AgSn3S8 from Alexandria via LeMat-Bulk. Energies are from GGA-PBE.

Cell lengths 9.1214, 9.1214, 9.1214 Å; angles 48.79, 48.79, 48.79 degrees
Atoms (fractional coordinates):
K (0.0000, 0.0000, 0.0000)
K (0.3519, 0.3519, 0.3519)
Ag (0.8485, 0.8485, 0.8485)
Sn (0.3554, 0.3554, 0.8472)
Sn (0.3554, 0.8472, 0.3554)
Sn (0.8472, 0.3554, 0.3554)
S (0.0843, 0.0843, 0.5665)
S (0.0843, 0.5665, 0.0843)
S (0.1260, 0.1260, 0.1260)
S (0.1371, 0.6194, 0.6194)
S (0.5665, 0.0843, 0.0843)
S (0.5830, 0.5830, 0.5830)
S (0.6194, 0.1371, 0.6194)
S (0.6194, 0.6194, 0.1371)

Summary:
* E_form (uncorrected): -0.54 eV/atom


(3)
Here is an optimized crystal structure of Zn2AsP from Alexandria via LeMat-Bulk. Energies are from GGA-PBE.

Cell lengths 3.7033, 3.7033, 9.9155 Å; angles 90.00, 90.00, 90.00 degrees
Atoms (fractional coordinates):
Zn (0.0000, 0.0000, 0.0000)
Zn (0.0000, 0.5000, 0.2500)
Zn (0.5000, 0.0000, 0.7500)
Zn (0.5000, 0.5000, 0.5000)
As (0.0000, 0.5000, 0.7500)
As (0.5000, 0.0000, 0.2500)
P (0.0000, 0.0000, 0.5000)
P (0.5000, 0.5000, 0.0000)

Summary:
* ΔE to the lowest computed polymorph: 248 meV/atom


(4)
Here is an optimized crystal structure of CdSiRu2 from Alexandria via LeMat-Bulk. Energies are from GGA-PBE.

Cell lengths 2.9140, 3.7305, 5.7727 Å; angles 90.00, 102.13, 90.00 degrees
Atoms (fractional coordinates):
Cd (0.0000, 0.0000, 0.0000)
Si (0.0000, 0.0000, 0.5000)
Ru (0.3586, 0.5000, 0.7097)
Ru (0.6414, 0.5000, 0.2903)

Summary:
* E_form (uncorrected): -0.09 eV/atom


(5)
Here is an optimized crystal structure of CoSbRu2 from Alexandria via LeMat-Bulk. Energies are from GGA-PBE.

Cell lengths 8.8672, 2.9201, 4.6539 Å; angles 90.00, 101.59, 90.00 degrees
Atoms (fractional coordinates):
Co (0.0000, 0.0000, 0.0000)
Co (0.5000, 0.5000, 0.0000)
Sb (0.2481, 0.5000, 0.2489)
Sb (0.7481, 0.0000, 0.2489)
Ru (0.0039, 0.5000, 0.5446)
Ru (0.2525, 0.0000, 0.7643)
Ru (0.5039, 0.0000, 0.5446)
Ru (0.7525, 0.5000, 0.7643)

Summary:
* E_form (uncorrected): 0.21 eV/atom


(6)
Here is an optimized crystal structure of ThTeN from Alexandria via LeMat-Bulk. Energies are from GGA-PBE.

Cell lengths 4.1010, 4.1010, 10.0080 Å; angles 90.00, 90.00, 120.00 degrees
Atoms (fractional coordinates):
Th (0.3333, 0.6667, 0.3518)
Th (0.6667, 0.3333, 0.6482)
Te (0.3333, 0.6667, 0.8767)
Te (0.6667, 0.3333, 0.1233)
N (0.3333, 0.6667, 0.5873)
N (0.6667, 0.3333, 0.4127)

Summary:
* ΔE to the lowest computed polymorph: 0 meV/atom
* E_form (uncorrected): -1.10 eV/atom


(7)
Here is an optimized crystal structure of CeThZnPd from Alexandria via LeMat-Bulk. Energies are from GGA-PBE.

Cell lengths 7.2515, 7.2515, 7.2515 Å; angles 90.00, 90.00, 90.00 degrees
Atoms (fractional coordinates):
Ce (0.0000, 0.0000, 0.0000)
Ce (0.0000, 0.5000, 0.5000)
Ce (0.5000, 0.0000, 0.5000)
Ce (0.5000, 0.5000, 0.0000)
Th (0.0000, 0.0000, 0.5000)
Th (0.0000, 0.5000, 0.0000)
Th (0.5000, 0.0000, 0.0000)
Th (0.5000, 0.5000, 0.5000)
Zn (0.2500, 0.2500, 0.7500)
Zn (0.2500, 0.7500, 0.2500)
Zn (0.7500, 0.2500, 0.2500)
Zn (0.7500, 0.7500, 0.7500)
Pd (0.2500, 0.2500, 0.2500)
Pd (0.2500, 0.7500, 0.7500)
Pd (0.7500, 0.2500, 0.7500)
Pd (0.7500, 0.7500, 0.2500)

Summary:
* E: -0.39028 Ry per atom


(8)
Here is an optimized crystal structure of NaPuPa4N8 from Alexandria via LeMat-Bulk. Energies are from GGA-PBE.

Cell lengths 6.6468, 6.6468, 6.6468 Å; angles 64.69, 64.69, 64.69 degrees
Atoms (fractional coordinates):
Na (0.0000, 0.0000, 0.0000)
Pu (0.3800, 0.3800, 0.3800)
Pa (0.4970, 0.9968, 0.9968)
Pa (0.5990, 0.5990, 0.5990)
Pa (0.9968, 0.4970, 0.9968)
Pa (0.9968, 0.9968, 0.4970)
N (0.2216, 0.7479, 0.7479)
N (0.2343, 0.2343, 0.2343)
N (0.2642, 0.2642, 0.7800)
N (0.2642, 0.7800, 0.2642)
N (0.7479, 0.2216, 0.7479)
N (0.7479, 0.7479, 0.2216)
N (0.7507, 0.7507, 0.7507)
N (0.7800, 0.2642, 0.2642)

Summary:
* E_form (uncorrected): -1.33 eV/atom


(9)
Here is an optimized crystal structure of Be2SeCl from Alexandria via LeMat-Bulk. Energies are from GGA-PBE.

Cell lengths 8.1016, 3.5571, 6.4217 Å; angles 90.00, 97.11, 90.00 degrees
Atoms (fractional coordinates):
Be (0.0000, 0.0000, 0.0000)
Be (0.2396, 0.5000, 0.0786)
Be (0.5000, 0.5000, 0.0000)
Be (0.7396, 0.0000, 0.0786)
Se (0.0389, 0.5000, 0.8248)
Se (0.5389, 0.0000, 0.8248)
Cl (0.1957, 0.0000, 0.2621)
Cl (0.6957, 0.5000, 0.2621)

Summary:
* ΔE to the lowest computed polymorph: 0 meV/atom
* E_form (uncorrected): -0.41 eV/atom


(10)
Here is an optimized crystal structure of Li5MgCd2Hg2 from Alexandria via LeMat-Bulk. Energies are from GGA-PBE.

Cell lengths 9.9270, 9.9270, 4.1483 Å; angles 90.00, 90.00, 90.00 degrees
Atoms (fractional coordinates):
Li (0.0000, 0.5000, 0.0000)
Li (0.0923, 0.1926, 0.0000)
Li (0.1926, 0.9077, 0.0000)
Li (0.3074, 0.4077, 0.0000)
Li (0.4077, 0.6926, 0.0000)
Li (0.5000, 0.0000, 0.0000)
Li (0.5923, 0.3074, 0.0000)
Li (0.6926, 0.5923, 0.0000)
Li (0.8074, 0.0923, 0.0000)
Li (0.9077, 0.8074, 0.0000)
Mg (0.0000, 0.0000, 0.5000)
Mg (0.5000, 0.5000, 0.5000)
Cd (0.1653, 0.6653, 0.5000)
Cd (0.3347, 0.1653, 0.5000)
Cd (0.6653, 0.8347, 0.5000)
Cd (0.8347, 0.3347, 0.5000)
Hg (0.1308, 0.3692, 0.5000)
Hg (0.3692, 0.8692, 0.5000)
Hg (0.6308, 0.1308, 0.5000)
Hg (0.8692, 0.6308, 0.5000)

Summary:
* E: -0.11138 Ry per atom


For each record above, in turn, the calculated calculated volume values are 373.07; 394.17; 135.98; 61.35; 118.05; 145.77; 381.32; 228.98; 183.64; 408.79 Å³/cell.
For each record above, in turn, the calculated DOS(E_F) values are 0.363; 0.365; 0.402; 0.436; 0.854; 0.480; 1.913; 0.617; 0.165; 0.336 states/eV/atom.